1.
Material: Sm6InAs2Se3
Method: DFT, PBE
State: optimized geometry

The structure in extended XYZ format:
```
12
Lattice="9.264 -2.099 0.000 9.264 2.099 0.000 -1.970 0.000 8.348" Properties=species:S:1:pos:R:3 pbc="T T T"
Sm -0.475 0.000 2.185
Sm 5.279 0.000 3.532
Sm 4.331 0.000 7.574
Sm 12.227 0.000 0.774
Sm 11.279 0.000 4.816
Sm 17.032 0.000 6.162
In 9.264 0.000 0.000
As 2.443 0.000 2.797
As 14.114 0.000 5.551
Se 1.452 0.000 6.942
Se 8.279 0.000 4.174
Se 15.106 0.000 1.406
```

- Calculated total energy: -68.74 eV per formula unit
- Formation energy (no corrections): -1731 kJ/mol of formula units

2.
Material: SrCa2Cu
Method: DFT, PBE
State: optimized geometry

The structure in extended XYZ format:
```
8
Lattice="-4.747 4.747 3.301 4.747 -4.747 3.301 4.747 4.747 -3.301" Properties=species:S:1:pos:R:3 pbc="T T T"
Sr 0.000 0.000 0.000
Sr 0.000 4.747 1.651
Ca 2.374 -1.468 2.476
Ca 3.279 2.374 0.825
Ca 2.374 6.215 -0.825
Ca 1.468 2.374 4.127
Cu 4.747 0.000 1.651
Cu 0.000 0.000 3.301
```

- Calculated total energy: -9.35 eV per formula unit
- Energy relative to the elements: 10.3 kJ per mole of atoms
- E above lowest polymorph: 0.61 eV/f.u.

3.
Material: CaSmTl
Method: DFT, PBE
State: optimized geometry

The structure in extended XYZ format:
```
6
Lattice="4.613 -2.665 0.000 4.613 2.665 0.000 -0.008 0.000 7.910" Properties=species:S:1:pos:R:3 pbc="T T T"
Ca 1.536 0.000 2.962
Ca 7.681 0.000 4.948
Sm 1.530 0.000 7.063
Sm 7.688 0.000 0.848
Tl 4.613 0.000 1.706
Tl 4.605 0.000 6.204
```

- Calculated total energy: -9.72 eV per formula unit
- Energy relative to the elements: -20.3 kJ per mole of atoms
- E above lowest polymorph: 0.44 eV/f.u.

Repeat the second record exactly.
Material: SrCa2Cu
Method: DFT, PBE
State: optimized geometry

The structure in extended XYZ format:
```
8
Lattice="-4.747 4.747 3.301 4.747 -4.747 3.301 4.747 4.747 -3.301" Properties=species:S:1:pos:R:3 pbc="T T T"
Sr 0.000 0.000 0.000
Sr 0.000 4.747 1.651
Ca 2.374 -1.468 2.476
Ca 3.279 2.374 0.825
Ca 2.374 6.215 -0.825
Ca 1.468 2.374 4.127
Cu 4.747 0.000 1.651
Cu 0.000 0.000 3.301
```

- Calculated total energy: -9.35 eV per formula unit
- Energy relative to the elements: 10.3 kJ per mole of atoms
- E above lowest polymorph: 0.61 eV/f.u.

- Among the records above, which one has the lowest calculated total energy?
  Sm6InAs2Se3

Please write out number 3 again, unchanged.
Material: CaSmTl
Method: DFT, PBE
State: optimized geometry

The structure in extended XYZ format:
```
6
Lattice="4.613 -2.665 0.000 4.613 2.665 0.000 -0.008 0.000 7.910" Properties=species:S:1:pos:R:3 pbc="T T T"
Ca 1.536 0.000 2.962
Ca 7.681 0.000 4.948
Sm 1.530 0.000 7.063
Sm 7.688 0.000 0.848
Tl 4.613 0.000 1.706
Tl 4.605 0.000 6.204
```

- Calculated total energy: -9.72 eV per formula unit
- Energy relative to the elements: -20.3 kJ per mole of atoms
- E above lowest polymorph: 0.44 eV/f.u.

- Among the records above, which one has the lowest calculated total energy?
  Sm6InAs2Se3